Entry from Alexandria via LeMat-Bulk: an optimized crystal structure of Y6Ho2S3 (PBE).

The density of states at the Fermi level comes out at 10.85 states/eV/cell. Its volume is 297.9 Å³/cell. The formation energy without anion corrections comes out at -1044 meV/atom.

Lattice parameters (Å, degrees): 3.7532 3.7532 24.5185 85.61 85.61 60.00
Last column: nearest neighbours and their distance in Å.
Positions (direct):
Y 0.1860 0.1860 0.4421  9 Y 3.56-3.75, 3 Ho 3.58
Y 0.3569 0.3569 0.9292  6 S 2.71-2.77
Y 0.6431 0.6431 0.0708  6 S 2.71-2.77
Y 0.0689 0.0689 0.7934  3 S 2.75
Y 0.8140 0.8140 0.5579  9 Y 3.56-3.75, 3 Ho 3.58
Y 0.9311 0.9311 0.2066  3 S 2.75
S 0.2875 0.2875 0.1376  6 Y 2.71-2.75
S 0.7125 0.7125 0.8624  6 Y 2.71-2.75
S 0.0000 0.0000 0.0000  6 Y 2.77
Ho 0.5582 0.5582 0.3253  6 Y 3.58-3.62, 6 Ho 3.75
Ho 0.4418 0.4418 0.6747  6 Y 3.58-3.62, 6 Ho 3.75